(1)
The following is a SCAN calculation of a crystal of WC2 relaxed with PBEsol, from Alexandria.

a = 10.599 Å, b = 2.748 Å, c = 3.741 Å
α = 90.00°, β = 96.23°, γ = 90.00°
Space group C2/m (No. 12)
Unique sites:
W  0.122  0.000  0.052 [4 per cell]
C  0.004  0.500  0.695 [4 per cell]
C  0.231  0.000  0.592 [4 per cell]

Properties
**Polymorph energy (0 for the lowest one)**: 0.00 eV/f.u.
**ΔH_f (0 K)**: 0.6629 eV per atom
**Size of the total moment**: 0.00 μB/f.u.
**ρ**: 12.75 Mg/m³
**Density of states at the Fermi level**: 0.25 states/eV per atom
**Uncorrected energy**: -2.1535 Ry per atom



(2)
The following is a SCAN calculation of a crystal of Cu2NiOs relaxed with PBEsol, from Alexandria.

a = 2.529 Å, b = 3.647 Å, c = 5.157 Å
α = 90.00°, β = 90.00°, γ = 90.00°
Space group Pmm2 (No. 25)
Unique sites:
Cu  0.000  0.000  0.000 [1 per cell]
Cu  0.500  0.500  0.232 [1 per cell]
Ni  0.000  0.000  0.499 [1 per cell]
Os  0.500  0.500  0.725 [1 per cell]

Properties
**Polymorph energy (0 for the lowest one)**: 0.23 eV/f.u.
**ΔH_f (0 K)**: 0.2303 eV per atom
**Size of the total moment**: 0.00 μB/f.u.
**ρ**: 13.13 Mg/m³
**Density of states at the Fermi level**: 0.90 states/eV per atom
**Uncorrected energy**: -2.1596 Ry per atom



(3)
The following is a SCAN calculation of a crystal of ZnInIr2 relaxed with PBEsol, from Alexandria.

a = 2.820 Å, b = 3.842 Å, c = 5.652 Å
α = 90.00°, β = 90.00°, γ = 90.00°
Space group Pmm2 (No. 25)
Unique sites:
Zn  0.000  0.000  0.000 [1 per cell]
In  0.500  0.500  0.293 [1 per cell]
Ir  0.000  0.000  0.538 [1 per cell]
Ir  0.500  0.500  0.803 [1 per cell]

Properties
**ΔH_f (0 K)**: 0.0273 eV per atom
**Size of the total moment**: 0.00 μB/f.u.
**ρ**: 15.31 Mg/m³
**Density of states at the Fermi level**: 0.48 states/eV per atom
**Uncorrected energy**: -3.4726 Ry per atom



(4)
The following is a SCAN calculation of a crystal of TaZn2Si relaxed with PBEsol, from Alexandria.

a = 2.933 Å, b = 3.641 Å, c = 5.540 Å
α = 90.00°, β = 90.00°, γ = 90.00°
Space group Pmm2 (No. 25)
Unique sites:
Ta  0.000  0.000  0.000 [1 per cell]
Zn  0.000  0.000  0.503 [1 per cell]
Zn  0.500  0.500  0.286 [1 per cell]
Si  0.500  0.500  0.772 [1 per cell]

Properties
**Size of the total moment**: 0.00 μB/f.u.
**ρ**: 9.54 Mg/m³
**Density of states at the Fermi level**: 0.40 states/eV per atom
**Uncorrected formation energy**: 7 meV/atom
**Uncorrected energy**: -1.9037 Ry per atom



(5)
The following is a SCAN calculation of a crystal of TaAlNi relaxed with PBEsol, from Alexandria.

a = 2.830 Å, b = 2.830 Å, c = 10.383 Å
α = 90.00°, β = 90.00°, γ = 90.00°
Space group I4mm (No. 107)
Unique sites:
Ta  0.000  0.000  0.000 [2 per cell]
Al  0.000  0.000  0.691 [2 per cell]
Ni  0.000  0.000  0.328 [2 per cell]

Properties
**ΔH_f (0 K)**: -0.4507 eV per atom
**Size of the total moment**: 0.01 μB/f.u.
**ρ**: 10.65 Mg/m³
**Density of states at the Fermi level**: 0.53 states/eV per atom
**Uncorrected energy**: -2.2505 Ry per atom



(6)
The following is a SCAN calculation of a crystal of NaSr3Pt relaxed with PBEsol, from Alexandria.

a = 5.911 Å, b = 5.911 Å, c = 5.911 Å
α = 90.00°, β = 90.00°, γ = 90.00°
Space group Pm-3m (No. 221)
Unique sites:
Na  0.000  0.000  0.000 [1 per cell]
Sr  0.000  0.500  0.500 [3 per cell]
Pt  0.500  0.500  0.500 [1 per cell]

Properties
**ΔH_f (0 K)**: -0.5090 eV per atom
**Size of the total moment**: 0.00 μB/f.u.
**ρ**: 3.87 Mg/m³
**Density of states at the Fermi level**: 0.44 states/eV per atom
**Uncorrected energy**: -2.1135 Ry per atom